[1]
Computed, not measured: Li2AcZnAu2 after structural relaxation at the PBE level of DFT.

- magnetization (μB/atom) = 0.000
- energy relative to the elements (eV per atom) = -0.545
- total energy (eV per cell) = -19.034
- D(E_F) (states/eV per atom) = 0.434

a = 4.5443 Å, b = 4.5443 Å, c = 7.0192 Å
α = 90.00°, β = 90.00°, γ = 120.00°
Fractional positions:
Li (0.3333, 0.6667, 0.6471)
Li (0.6667, 0.3333, 0.3529)
Zn (0.0000, 0.0000, 0.5000)
Au (0.3333, 0.6667, 0.2804)
Au (0.6667, 0.3333, 0.7196)
Ac (0.0000, 0.0000, 0.0000)

[2]
Computed, not measured: LiAcZnAu3 after structural relaxation at the PBE level of DFT.

- magnetization (μB/atom) = 0.000
- energy relative to the elements (eV per atom) = -0.444
- total energy (eV per cell) = -39.581
- D(E_F) (states/eV per atom) = 0.343

a = 6.0976 Å, b = 6.8513 Å, c = 7.2782 Å
α = 118.08°, β = 90.00°, γ = 90.00°
Fractional positions:
Au (0.0000, 0.7047, 0.0000)
Au (0.7500, 0.8188, 0.6377)
Au (0.5000, 0.7047, 0.0000)
Au (0.5000, 0.2953, 0.0000)
Au (0.2500, 0.1812, 0.3623)
Au (0.0000, 0.2953, 0.0000)
Ac (0.2500, 0.7088, 0.4177)
Ac (0.7500, 0.2912, 0.5823)
Li (0.2500, 0.3788, 0.7576)
Li (0.7500, 0.6212, 0.2424)
Zn (0.2500, 0.9651, 0.9302)
Zn (0.7500, 0.0349, 0.0698)

[3]
Computed, not measured: LiAc2Zn3Au4 after structural relaxation at the PBE level of DFT.

- magnetization (μB/atom) = 0.000
- energy relative to the elements (eV per atom) = -0.570
- total energy (eV per cell) = -32.764
- D(E_F) (states/eV per atom) = 0.577

a = 4.4938 Å, b = 4.4938 Å, c = 10.9917 Å
α = 90.00°, β = 90.00°, γ = 90.00°
Fractional positions:
Ac (0.0000, 0.5000, 0.7551)
Ac (0.5000, 0.0000, 0.2449)
Zn (0.0000, 0.0000, 0.5000)
Zn (0.5000, 0.0000, 0.8728)
Zn (0.0000, 0.5000, 0.1272)
Au (0.5000, 0.5000, 0.0000)
Au (0.0000, 0.0000, 0.0000)
Au (0.0000, 0.5000, 0.3660)
Au (0.5000, 0.0000, 0.6340)
Li (0.5000, 0.5000, 0.5000)

[4]
Computed, not measured: LiAcZn2Au5 after structural relaxation at the PBE level of DFT.

- magnetization (μB/atom) = 0.000
- energy relative to the elements (eV per atom) = -0.364
- total energy (eV per cell) = -28.236
- D(E_F) (states/eV per atom) = 0.392

a = 4.9928 Å, b = 4.9928 Å, c = 7.6588 Å
α = 90.00°, β = 90.00°, γ = 90.00°
Fractional positions:
Ac (0.0000, 0.0000, 0.5000)
Au (0.5000, 0.0000, 0.2111)
Au (0.0000, 0.5000, 0.2111)
Au (0.0000, 0.5000, 0.7889)
Au (0.5000, 0.0000, 0.7889)
Au (0.5000, 0.5000, 0.5000)
Zn (0.5000, 0.5000, 0.1600)
Zn (0.5000, 0.5000, 0.8400)
Li (0.0000, 0.0000, 0.0000)

[5]
Computed, not measured: LiAcZnAu2 after structural relaxation at the PBE level of DFT.

- magnetization (μB/atom) = 0.000
- energy relative to the elements (eV per atom) = -0.623
- total energy (eV per cell) = -16.967
- D(E_F) (states/eV per atom) = 0.507

a = 4.1973 Å, b = 4.1973 Å, c = 7.0118 Å
α = 107.42°, β = 107.42°, γ = 90.00°
Fractional positions:
Zn (0.2500, 0.7500, 0.5000)
Au (0.6168, 0.6168, 0.2336)
Au (0.3832, 0.3832, 0.7664)
Ac (0.0000, 0.0000, 0.0000)
Li (0.7500, 0.2500, 0.5000)

[6]
Computed, not measured: Li2AcZnAu4 after structural relaxation at the PBE level of DFT.

- magnetization (μB/atom) = 0.000
- energy relative to the elements (eV per atom) = -0.572
- total energy (eV per cell) = -26.893
- D(E_F) (states/eV per atom) = 0.397

a = 4.5406 Å, b = 4.5406 Å, c = 9.3925 Å
α = 76.01°, β = 76.01°, γ = 60.00°
Fractional positions:
Au (0.5975, 0.5975, 0.2075)
Au (0.8702, 0.8702, 0.3895)
Au (0.4025, 0.4025, 0.7925)
Au (0.1298, 0.1298, 0.6105)
Zn (0.5000, 0.5000, 0.5000)
Ac (0.0000, 0.0000, 0.0000)
Li (0.2306, 0.2306, 0.3082)
Li (0.7694, 0.7694, 0.6918)

[7]
Computed, not measured: Ac2LuAu after structural relaxation at the PBE level of DFT.

- magnetization (μB/atom) = 0.000
- energy relative to the elements (eV per atom) = -0.224
- total energy (eV per cell) = -16.911
- D(E_F) (states/eV per atom) = 1.042
- energy relative to the lowest polymorph listed for this composition (eV per atom) = 0.089

a = 3.8594 Å, b = 5.8277 Å, c = 5.8277 Å
α = 90.00°, β = 90.00°, γ = 90.00°
Fractional positions:
Ac (0.0000, 0.5000, 0.0000)
Ac (0.0000, 0.0000, 0.5000)
Lu (0.5000, 0.0000, 0.0000)
Au (0.5000, 0.5000, 0.5000)

[8]
Computed, not measured: Ac2LuAu after structural relaxation at the PBE level of DFT.

- magnetization (μB/atom) = 0.000
- energy relative to the elements (eV per atom) = -0.313
- total energy (eV per cell) = -17.267
- D(E_F) (states/eV per atom) = 1.370
- energy relative to the lowest polymorph listed for this composition (eV per atom) = 0.000

a = 3.9365 Å, b = 3.9365 Å, c = 8.7157 Å
α = 90.00°, β = 90.00°, γ = 90.00°
Fractional positions:
Ac (0.0000, 0.0000, 0.2192)
Ac (0.0000, 0.0000, 0.7808)
Au (0.5000, 0.5000, 0.0000)
Lu (0.5000, 0.5000, 0.5000)

[9]
Computed, not measured: AcLuNiAu after structural relaxation at the PBE level of DFT.

- magnetization (μB/atom) = 0.000
- energy relative to the elements (eV per atom) = -0.444
- total energy (eV per cell) = -19.462
- D(E_F) (states/eV per atom) = 0.761

a = 5.1552 Å, b = 5.1552 Å, c = 5.1552 Å
α = 60.00°, β = 60.00°, γ = 60.00°
Fractional positions:
Ni (0.0000, 0.0000, 0.0000)
Au (0.5000, 0.5000, 0.5000)
Ac (0.7500, 0.7500, 0.7500)
Lu (0.2500, 0.2500, 0.2500)

[10]
Computed, not measured: AcLuPtAu after structural relaxation at the PBE level of DFT.

- magnetization (μB/atom) = 0.000
- energy relative to the elements (eV per atom) = -0.891
- total energy (eV per cell) = -21.512
- D(E_F) (states/eV per atom) = 0.647

a = 5.2092 Å, b = 5.2092 Å, c = 5.2092 Å
α = 60.00°, β = 60.00°, γ = 60.00°
Fractional positions:
Au (0.2500, 0.2500, 0.2500)
Ac (0.5000, 0.5000, 0.5000)
Pt (0.7500, 0.7500, 0.7500)
Lu (0.0000, 0.0000, 0.0000)

What is the magnetization in the fourth record? 0.000 μB/atom

The lowest energy relative to the elements belongs to which entry? AcLuPtAu

Look up the energy relative to the elements of the first one. -0.545 eV per atom